Entry 1:
# Hf4BeSb

A relaxed structure of Hf4BeSb (PBE-GGA, the Alexandria database).

Formation energy without anion corrections ... -122.2 kJ/mol of formula units
Total energy ... -8.155 eV per atom
Total moment ... 0.00 μB/f.u.

CIF file:
```
data_Hf4BeSb
_cell_length_a 6.5561
_cell_length_b 6.5561
_cell_length_c 5.6031
_cell_angle_alpha 90.00
_cell_angle_beta 90.00
_cell_angle_gamma 90.00
_symmetry_space_group_name_H-M 'P 4/m c c'
_symmetry_Int_Tables_number 124
_symmetry_space_group_name_Hall '-P 4 2c'
loop_
_atom_site_label
_atom_site_type_symbol
_atom_site_fract_x
_atom_site_fract_y
_atom_site_fract_z
Hf1 Hf 0.1380 0.3220 0.0000
Be1 Be 0.0000 0.0000 0.2500
Sb1 Sb 0.5000 0.5000 0.2500
```

Entry 2:
# RbNp2CuSe4

A relaxed structure of RbNp2CuSe4 (PBE-GGA, the Alexandria database).

Formation energy without anion corrections ... -806.9 kJ/mol of formula units
Total energy ... -6.656 eV per atom
Total moment ... 8.00 μB/f.u.

CIF file:
```
data_RbNp2CuSe4
_cell_length_a 4.1654
_cell_length_b 14.4344
_cell_length_c 14.4004
_cell_angle_alpha 90.00
_cell_angle_beta 90.00
_cell_angle_gamma 90.00
_symmetry_space_group_name_H-M 'C m c m'
_symmetry_Int_Tables_number 63
_symmetry_space_group_name_Hall '-C 2c 2'
loop_
_atom_site_label
_atom_site_type_symbol
_atom_site_fract_x
_atom_site_fract_y
_atom_site_fract_z
Rb1 Rb 0.0000 0.1083 0.2500
Np1 Np 0.0000 0.3674 0.0602
Cu1 Cu 0.0000 0.1632 0.7500
Se1 Se 0.0000 0.0000 0.0000
Se2 Se 0.0000 0.2615 0.6100
Se3 Se 0.0000 0.4274 0.2500
```

Entry 3:
# Na3MgSb3S8

A relaxed structure of Na3MgSb3S8 (PBE-GGA, the Alexandria database).

Formation energy without anion corrections ... -932.5 kJ/mol of formula units
Total energy ... -4.040 eV per atom
Total moment ... 0.00 μB/f.u.

CIF file:
```
data_Na3MgSb3S8
_cell_length_a 7.6669
_cell_length_b 7.6669
_cell_length_c 20.7576
_cell_angle_alpha 90.00
_cell_angle_beta 90.00
_cell_angle_gamma 120.00
_symmetry_space_group_name_H-M 'R -3 m'
_symmetry_Int_Tables_number 166
_symmetry_space_group_name_Hall '-R 3 2"'
loop_
_atom_site_label
_atom_site_type_symbol
_atom_site_fract_x
_atom_site_fract_y
_atom_site_fract_z
Na1 Na 0.0000 0.5000 0.0000
Mg1 Mg 0.0000 0.0000 0.5000
Sb1 Sb 0.0000 0.5000 0.5000
S1 S 0.0000 0.0000 0.2430
S2 S 0.0099 0.5049 0.2378
```

Entry 4:
# Pr3YSc

A relaxed structure of Pr3YSc (PBE-GGA, the Alexandria database).

Calculated formation energy ... 0.15 eV per atom
Total energy ... -5.278 eV per atom
Total moment ... 0.00 μB/f.u.

CIF file:
```
data_Pr3YSc
_cell_length_a 3.5532
_cell_length_b 17.6291
_cell_length_c 10.8125
_cell_angle_alpha 90.00
_cell_angle_beta 90.00
_cell_angle_gamma 90.00
_symmetry_space_group_name_H-M 'P b c m'
_symmetry_Int_Tables_number 57
loop_
_symmetry_equiv_pos_as_xyz
'x,y,z'
'-x,-y,-z'
'-x,-y,z+1/2'
'x,y,-z+1/2'
'x,-y+1/2,-z'
'-x,y+1/2,z'
'-x,y+1/2,-z+1/2'
'x,-y+1/2,z+1/2'
loop_
_atom_site_label
_atom_site_type_symbol
_atom_site_fract_x
_atom_site_fract_y
_atom_site_fract_z
Pr1 Pr 0.2384 0.2500 0.0000
Pr2 Pr 0.2580 0.5768 0.0618
Y1 Y 0.2307 0.1044 0.7500
Sc1 Sc 0.2667 0.7280 0.2500
```

Entry 5:
# YBrO3

A relaxed structure of YBrO3 (PBE-GGA, the Alexandria database).

Formation energy without anion corrections ... -286.3 kJ/mol of formula units
Total energy ... -5.196 eV per atom
Total moment ... 0.00 μB/f.u.

CIF file:
```
data_YBrO3
_cell_length_a 4.1558
_cell_length_b 4.1558
_cell_length_c 4.1558
_cell_angle_alpha 90.00
_cell_angle_beta 90.00
_cell_angle_gamma 90.00
_symmetry_space_group_name_H-M 'P m -3 m'
_symmetry_Int_Tables_number 221
_symmetry_space_group_name_Hall '-P 4 2 3'
loop_
_atom_site_label
_atom_site_type_symbol
_atom_site_fract_x
_atom_site_fract_y
_atom_site_fract_z
Y1 Y 0.0000 0.0000 0.0000
Br1 Br 0.5000 0.5000 0.5000
O1 O 0.0000 0.5000 0.5000
```

Entry 6:
# PuZr2ScAs4

A relaxed structure of PuZr2ScAs4 (PBE-GGA, the Alexandria database).

Calculated formation energy ... -1.19 eV per atom
Total energy ... -8.230 eV per atom
Total moment ... 5.43 μB/f.u.

CIF file:
```
data_PuZr2ScAs4
_cell_length_a 6.7811
_cell_length_b 3.9289
_cell_length_c 6.8549
_cell_angle_alpha 90.00
_cell_angle_beta 109.22
_cell_angle_gamma 90.00
_symmetry_space_group_name_H-M 'P 1 2/m 1'
_symmetry_Int_Tables_number 10
loop_
_symmetry_equiv_pos_as_xyz
'x,y,z'
'-x,-y,-z'
'-x,y,-z'
'x,-y,z'
loop_
_atom_site_label
_atom_site_type_symbol
_atom_site_fract_x
_atom_site_fract_y
_atom_site_fract_z
Pu1 Pu 0.0000 0.0000 0.0000
Zr1 Zr 0.0000 0.5000 0.5000
Zr2 Zr 0.5000 0.0000 0.5000
Sc1 Sc 0.5000 0.5000 0.0000
As1 As 0.2548 0.0000 0.7467
As2 As 0.2589 0.5000 0.2580
```

Copy entry 3 word for word.
# Na3MgSb3S8

A relaxed structure of Na3MgSb3S8 (PBE-GGA, the Alexandria database).

Formation energy without anion corrections ... -932.5 kJ/mol of formula units
Total energy ... -4.040 eV per atom
Total moment ... 0.00 μB/f.u.

CIF file:
```
data_Na3MgSb3S8
_cell_length_a 7.6669
_cell_length_b 7.6669
_cell_length_c 20.7576
_cell_angle_alpha 90.00
_cell_angle_beta 90.00
_cell_angle_gamma 120.00
_symmetry_space_group_name_H-M 'R -3 m'
_symmetry_Int_Tables_number 166
_symmetry_space_group_name_Hall '-R 3 2"'
loop_
_atom_site_label
_atom_site_type_symbol
_atom_site_fract_x
_atom_site_fract_y
_atom_site_fract_z
Na1 Na 0.0000 0.5000 0.0000
Mg1 Mg 0.0000 0.0000 0.5000
Sb1 Sb 0.0000 0.5000 0.5000
S1 S 0.0000 0.0000 0.2430
S2 S 0.0099 0.5049 0.2378
```